(1)
PBE Tc2RuRh, relaxed; energy relative to the lowest polymorph listed for this composition = 1.332 eV/atom; ΔH_f (0 K) = 1.199 eV/atom; energy = -8.14 eV/atom; crystal system = tetragonal; total magnetic moment = 0.00 μB/atom
1.0
5.538 0.000 0.000
0.000 5.538 0.000
2.769 2.769 5.490
Tc Rh Ru
4 2 2
Cartesian
6.923 6.905 4.118
1.402 4.154 1.373
4.136 1.385 1.373
4.154 4.171 4.118
5.538 2.769 2.745
0.000 0.000 0.000
2.769 5.538 2.745
2.769 2.769 0.000



(2)
PBE Nb6AsC, relaxed; ΔH_f (0 K) = -0.156 eV/atom; energy = -9.44 eV/atom; crystal system = triclinic; total magnetic moment = 0.00 μB/atom
1.0
5.747 -0.662 0.034
2.367 4.204 0.809
2.683 2.186 5.687
Nb C As
6 1 1
Cartesian
8.839 5.375 5.769
1.958 0.354 0.760
2.088 2.544 2.206
5.855 4.864 5.052
4.942 0.864 1.477
8.709 3.184 4.324
0.000 0.000 0.000
5.399 2.864 3.265



(3)
PBE Ac7TbSm12, relaxed; ΔH_f (0 K) = 0.837 eV/atom; energy = -3.66 eV/atom; crystal system = cubic; total magnetic moment = 0.00 μB/atom
1.0
-5.411 -8.214 -3.567
7.169 -3.269 6.885
-6.525 6.709 4.679
Ac Sm Tb
7 12 1
Cartesian
-5.968 -0.753 0.556
-3.262 3.355 2.340
-2.384 -2.387 3.999
3.584 -1.635 3.442
-2.706 -4.107 -1.783
0.322 1.720 5.782
0.879 -5.742 1.659
-5.634 -4.288 -0.646
3.156 -4.599 4.409
-5.406 -3.070 3.450
-3.031 3.370 5.478
-1.736 -8.144 2.519
0.639 -1.705 4.547
-7.924 -0.176 3.588
-2.409 -0.697 6.653
-2.359 -4.077 1.344
0.867 -0.486 8.643
-1.071 -5.132 4.803
-3.696 0.357 3.194
0.000 0.000 0.000